1.
# Pm8SiN4 GGA-PBE relaxed
# Density   6.69 Mg/m³
# Formation energy (no corrections)   -0.819 eV per atom
data_Pm8SiN4
_chemical_formula_sum 'Pm8 Si1 N4'
_symmetry_space_group_name_H-M 'P 1'
_symmetry_Int_Tables_number 1
_cell_length_a 7.588
_cell_length_b 7.588
_cell_length_c 7.588
_cell_angle_alpha 60.00
_cell_angle_beta 60.00
_cell_angle_gamma 60.00
loop_
_symmetry_equiv_pos_as_xyz
'x,y,z'
loop_
_atom_site_label
_atom_site_fract_x
_atom_site_fract_y
_atom_site_fract_z
_atom_site_occupancy
Pm1 0.606 0.606 0.606 1
Pm2 0.585 0.138 0.138 1
Pm3 0.138 0.585 0.138 1
Pm4 0.138 0.138 0.138 1
Pm5 0.606 0.181 0.606 1
Pm6 0.138 0.138 0.585 1
Pm7 0.606 0.606 0.181 1
Pm8 0.181 0.606 0.606 1
Si1 0.750 0.750 0.750 1
N1 0.371 0.371 0.886 1
N2 0.371 0.886 0.371 1
N3 0.886 0.371 0.371 1
N4 0.371 0.371 0.371 1


2.
# Pm2SiN3 GGA-PBE relaxed
# Density   7.15 Mg/m³
# Formation energy (no corrections)   -1.294 eV per atom
data_Pm2SiN3
_chemical_formula_sum 'Pm8 Si4 N12'
_symmetry_space_group_name_H-M 'P 1'
_symmetry_Int_Tables_number 1
_cell_length_a 5.352
_cell_length_b 5.972
_cell_length_c 11.707
_cell_angle_alpha 89.09
_cell_angle_beta 87.98
_cell_angle_gamma 63.38
loop_
_symmetry_equiv_pos_as_xyz
'x,y,z'
loop_
_atom_site_label
_atom_site_fract_x
_atom_site_fract_y
_atom_site_fract_z
_atom_site_occupancy
N1 0.574 0.853 0.250 1
N2 0.858 0.810 0.044 1
N3 0.981 0.038 0.750 1
N4 0.874 0.677 0.642 1
N5 0.551 0.323 0.142 1
N6 0.126 0.323 0.358 1
N7 0.142 0.190 0.956 1
N8 0.449 0.677 0.858 1
N9 0.667 0.190 0.544 1
N10 0.019 0.962 0.250 1
N11 0.333 0.810 0.456 1
N12 0.426 0.147 0.750 1
Si1 0.261 0.998 0.332 1
Si2 0.741 0.998 0.168 1
Si3 0.259 0.002 0.832 1
Si4 0.739 0.002 0.668 1
Pm1 0.434 0.602 0.643 1
Pm2 0.037 0.398 0.143 1
Pm3 0.868 0.777 0.432 1
Pm4 0.132 0.223 0.568 1
Pm5 0.566 0.398 0.357 1
Pm6 0.355 0.777 0.068 1
Pm7 0.645 0.223 0.932 1
Pm8 0.963 0.602 0.857 1


3.
# Pm3Si2N6 GGA-PBE relaxed
# Density   7.01 Mg/m³
# Formation energy (no corrections)   -1.106 eV per atom
data_Pm3Si2N6
_chemical_formula_sum 'Pm3 Si2 N6'
_symmetry_space_group_name_H-M 'P 1'
_symmetry_Int_Tables_number 1
_cell_length_a 3.697
_cell_length_b 3.697
_cell_length_c 10.304
_cell_angle_alpha 100.34
_cell_angle_beta 100.34
_cell_angle_gamma 90.00
loop_
_symmetry_equiv_pos_as_xyz
'x,y,z'
loop_
_atom_site_label
_atom_site_fract_x
_atom_site_fract_y
_atom_site_fract_z
_atom_site_occupancy
Pm1 0.000 0.000 0.000 1
Pm2 0.817 0.817 0.634 1
Pm3 0.183 0.183 0.366 1
Si1 0.394 0.394 0.788 1
Si2 0.606 0.606 0.212 1
N1 0.586 0.086 0.172 1
N2 0.414 0.914 0.828 1
N3 0.695 0.695 0.390 1
N4 0.914 0.414 0.828 1
N5 0.305 0.305 0.610 1
N6 0.086 0.586 0.172 1


4.
# Pm3SiN5 GGA-PBE relaxed
# Density   7.15 Mg/m³
# Formation energy (no corrections)   -1.055 eV per atom
data_Pm3SiN5
_chemical_formula_sum 'Pm6 Si2 N10'
_symmetry_space_group_name_H-M 'P 1'
_symmetry_Int_Tables_number 1
_cell_length_a 6.703
_cell_length_b 6.703
_cell_length_c 7.271
_cell_angle_alpha 117.45
_cell_angle_beta 117.45
_cell_angle_gamma 90.00
loop_
_symmetry_equiv_pos_as_xyz
'x,y,z'
loop_
_atom_site_label
_atom_site_fract_x
_atom_site_fract_y
_atom_site_fract_z
_atom_site_occupancy
N1 0.500 0.500 0.000 1
N2 0.792 0.009 0.300 1
N3 0.000 0.000 0.000 1
N4 0.491 0.708 0.700 1
N5 0.509 0.292 0.300 1
N6 0.292 0.792 0.300 1
N7 0.708 0.208 0.700 1
N8 0.009 0.509 0.300 1
N9 0.991 0.491 0.700 1
N10 0.208 0.991 0.700 1
Si1 0.750 0.250 0.500 1
Si2 0.250 0.750 0.500 1
Pm1 0.250 0.250 0.500 1
Pm2 0.678 0.178 0.000 1
Pm3 0.322 0.822 0.000 1
Pm4 0.178 0.322 0.000 1
Pm5 0.822 0.678 0.000 1
Pm6 0.750 0.750 0.500 1


5.
# PmSiN2 GGA-PBE relaxed
# Density   4.29 Mg/m³
# Formation energy (no corrections)   -0.873 eV per atom
data_PmSiN2
_chemical_formula_sum 'Pm2 Si2 N4'
_symmetry_space_group_name_H-M 'P 1'
_symmetry_Int_Tables_number 1
_cell_length_a 4.803
_cell_length_b 6.117
_cell_length_c 6.436
_cell_angle_alpha 110.62
_cell_angle_beta 64.03
_cell_angle_gamma 108.92
loop_
_symmetry_equiv_pos_as_xyz
'x,y,z'
loop_
_atom_site_label
_atom_site_fract_x
_atom_site_fract_y
_atom_site_fract_z
_atom_site_occupancy
N1 0.864 0.379 0.682 1
N2 0.580 0.095 0.966 1
N3 0.160 0.419 0.006 1
N4 0.284 0.056 0.643 1
Si1 0.976 0.211 0.798 1
Si2 0.467 0.263 0.850 1
Pm1 0.222 0.737 0.824 1
Pm2 0.722 0.237 0.324 1


6.
# Pm3SiN GGA-PBE relaxed
# Density   6.70 Mg/m³
# Formation energy (no corrections)   -0.811 eV per atom
data_Pm3SiN
_chemical_formula_sum 'Pm6 Si2 N2'
_symmetry_space_group_name_H-M 'P 1'
_symmetry_Int_Tables_number 1
_cell_length_a 3.795
_cell_length_b 7.082
_cell_length_c 9.134
_cell_angle_alpha 89.49
_cell_angle_beta 90.00
_cell_angle_gamma 105.54
loop_
_symmetry_equiv_pos_as_xyz
'x,y,z'
loop_
_atom_site_label
_atom_site_fract_x
_atom_site_fract_y
_atom_site_fract_z
_atom_site_occupancy
Si1 0.587 0.174 0.473 1
Si2 0.413 0.826 0.527 1
Pm1 0.646 0.292 0.011 1
Pm2 0.232 0.463 0.319 1
Pm3 0.768 0.537 0.681 1
Pm4 0.354 0.708 0.989 1
Pm5 0.045 0.090 0.714 1
Pm6 0.955 0.910 0.286 1
N1 0.202 0.405 0.846 1
N2 0.798 0.595 0.154 1


7.
# Pm7Si4N GGA-PBE relaxed
# Density   5.82 Mg/m³
# Formation energy (no corrections)   -0.567 eV per atom
data_Pm7Si4N
_chemical_formula_sum 'Pm7 Si4 N1'
_symmetry_space_group_name_H-M 'P 1'
_symmetry_Int_Tables_number 1
_cell_length_a 4.951
_cell_length_b 9.004
_cell_length_c 8.076
_cell_angle_alpha 77.36
_cell_angle_beta 72.15
_cell_angle_gamma 74.04
loop_
_symmetry_equiv_pos_as_xyz
'x,y,z'
loop_
_atom_site_label
_atom_site_fract_x
_atom_site_fract_y
_atom_site_fract_z
_atom_site_occupancy
Si1 0.580 0.218 0.621 1
Si2 0.723 0.655 0.899 1
Si3 0.420 0.782 0.379 1
Si4 0.277 0.345 0.101 1
Pm1 0.931 0.255 0.884 1
Pm2 0.787 0.857 0.568 1
Pm3 0.639 0.460 0.263 1
Pm4 0.500 0.000 0.000 1
Pm5 0.213 0.143 0.432 1
Pm6 0.361 0.540 0.737 1
Pm7 0.069 0.745 0.116 1
N1 0.000 0.000 0.000 1


8.
# Pm4SiN GGA-PBE relaxed
# Density   6.09 Mg/m³
# Formation energy (no corrections)   -0.566 eV per atom
data_Pm4SiN
_chemical_formula_sum 'Pm8 Si2 N2'
_symmetry_space_group_name_H-M 'P 1'
_symmetry_Int_Tables_number 1
_cell_length_a 5.941
_cell_length_b 5.941
_cell_length_c 9.744
_cell_angle_alpha 90.00
_cell_angle_beta 90.00
_cell_angle_gamma 99.64
loop_
_symmetry_equiv_pos_as_xyz
'x,y,z'
loop_
_atom_site_label
_atom_site_fract_x
_atom_site_fract_y
_atom_site_fract_z
_atom_site_occupancy
Pm1 0.722 0.722 0.545 1
Pm2 0.278 0.278 0.455 1
Pm3 0.722 0.722 0.955 1
Pm4 0.742 0.144 0.250 1
Pm5 0.144 0.742 0.250 1
Pm6 0.278 0.278 0.045 1
Pm7 0.856 0.258 0.750 1
Pm8 0.258 0.856 0.750 1
Si1 0.394 0.394 0.750 1
Si2 0.606 0.606 0.250 1
N1 0.875 0.875 0.750 1
N2 0.125 0.125 0.250 1


9.
# Pm2SiN GGA-PBE relaxed
# Density   6.55 Mg/m³
# Formation energy (no corrections)   -0.897 eV per atom
data_Pm2SiN
_chemical_formula_sum 'Pm2 Si1 N1'
_symmetry_space_group_name_H-M 'P 1'
_symmetry_Int_Tables_number 1
_cell_length_a 3.684
_cell_length_b 3.684
_cell_length_c 7.470
_cell_angle_alpha 75.72
_cell_angle_beta 75.72
_cell_angle_gamma 60.00
loop_
_symmetry_equiv_pos_as_xyz
'x,y,z'
loop_
_atom_site_label
_atom_site_fract_x
_atom_site_fract_y
_atom_site_fract_z
_atom_site_occupancy
Pm1 0.767 0.767 0.698 1
Pm2 0.233 0.233 0.302 1
Si1 0.000 0.000 0.000 1
N1 0.500 0.500 0.500 1


10.
# Pm12Si6N GGA-PBE relaxed
# Density   5.84 Mg/m³
# Formation energy (no corrections)   -0.501 eV per atom
data_Pm12Si6N
_chemical_formula_sum 'Pm12 Si6 N1'
_symmetry_space_group_name_H-M 'P 1'
_symmetry_Int_Tables_number 1
_cell_length_a 8.281
_cell_length_b 8.281
_cell_length_c 8.281
_cell_angle_alpha 98.64
_cell_angle_beta 98.64
_cell_angle_gamma 98.64
loop_
_symmetry_equiv_pos_as_xyz
'x,y,z'
loop_
_atom_site_label
_atom_site_fract_x
_atom_site_fract_y
_atom_site_fract_z
_atom_site_occupancy
Pm1 0.306 0.068 0.973 1
Pm2 0.027 0.694 0.932 1
Pm3 0.572 0.434 0.815 1
Pm4 0.973 0.306 0.068 1
Pm5 0.434 0.815 0.572 1
Pm6 0.185 0.428 0.566 1
Pm7 0.068 0.973 0.306 1
Pm8 0.932 0.027 0.694 1
Pm9 0.566 0.185 0.428 1
Pm10 0.694 0.932 0.027 1
Pm11 0.815 0.572 0.434 1
Pm12 0.428 0.566 0.185 1
Si1 0.707 0.876 0.373 1
Si2 0.627 0.293 0.124 1
Si3 0.373 0.707 0.876 1
Si4 0.876 0.373 0.707 1
Si5 0.293 0.124 0.627 1
Si6 0.124 0.627 0.293 1
N1 0.000 0.000 0.000 1


11.
# Pm7SiN2 GGA-PBE relaxed
# Density   6.60 Mg/m³
# Formation energy (no corrections)   -0.467 eV per atom
data_Pm7SiN2
_chemical_formula_sum 'Pm7 Si1 N2'
_symmetry_space_group_name_H-M 'P 1'
_symmetry_Int_Tables_number 1
_cell_length_a 3.776
_cell_length_b 9.656
_cell_length_c 9.656
_cell_angle_alpha 130.02
_cell_angle_beta 90.00
_cell_angle_gamma 90.00
loop_
_symmetry_equiv_pos_as_xyz
'x,y,z'
loop_
_atom_site_label
_atom_site_fract_x
_atom_site_fract_y
_atom_site_fract_z
_atom_site_occupancy
N1 0.500 0.637 0.363 1
N2 0.500 0.363 0.637 1
Pm1 0.500 0.500 0.500 1
Pm2 0.500 0.914 0.692 1
Pm3 0.000 0.284 0.716 1
Pm4 0.500 0.692 0.914 1
Pm5 0.500 0.086 0.308 1
Pm6 0.500 0.308 0.086 1
Pm7 0.000 0.716 0.284 1
Si1 0.000 0.000 0.000 1


12.
# Pm5SiN GGA-PBE relaxed
# Density   6.33 Mg/m³
# Formation energy (no corrections)   -0.463 eV per atom
data_Pm5SiN
_chemical_formula_sum 'Pm10 Si2 N2'
_symmetry_space_group_name_H-M 'P 1'
_symmetry_Int_Tables_number 1
_cell_length_a 7.045
_cell_length_b 7.045
_cell_length_c 9.543
_cell_angle_alpha 70.46
_cell_angle_beta 70.46
_cell_angle_gamma 68.22
loop_
_symmetry_equiv_pos_as_xyz
'x,y,z'
loop_
_atom_site_label
_atom_site_fract_x
_atom_site_fract_y
_atom_site_fract_z
_atom_site_occupancy
Pm1 0.682 0.868 0.639 1
Pm2 0.771 0.367 0.526 1
Pm3 0.229 0.633 0.474 1
Pm4 0.059 0.941 0.750 1
Pm5 0.318 0.132 0.361 1
Pm6 0.941 0.059 0.250 1
Pm7 0.868 0.682 0.139 1
Pm8 0.132 0.318 0.861 1
Pm9 0.367 0.771 0.026 1
Pm10 0.633 0.229 0.974 1
N1 0.000 0.000 0.500 1
N2 0.000 0.000 0.000 1
Si1 0.414 0.586 0.750 1
Si2 0.586 0.414 0.250 1


no.,raw total energy (eV/atom)
1,-6.721
2,-7.944
3,-7.929
4,-7.866
5,-7.579
6,-6.412
7,-5.840
8,-6.024
9,-6.710
10,-5.652
11,-5.999
12,-5.821